(1)
Below is a geometry-optimized RbSr3Al structure, with properties calculated at the PBE level.

abc: 6.453 6.453 6.453
angles: 90.00 90.00 90.00
Space group Pm-3m (No. 221)
Symmetry-distinct sites (fractional):
Rb1 0.000 0.000 0.000 x1
Sr1 0.000 0.000 0.500 x3
Al1 0.500 0.500 0.500 x1

distance to the lowest polymorph of the same formula: 1.018 eV/atom
calculated volume: 268.7 Å³ per cell
DFT formation energy: 1099 meV per atom
magnetic moment: 2.01 μB per cell
energy: -0.852 eV per atom



(2)
Below is a geometry-optimized LiPC2 structure, with properties calculated at the PBE level.

abc: 4.440 4.440 9.499
angles: 90.00 90.00 90.00
Space group I-42d (No. 122)
Symmetry-distinct sites (fractional):
Li1 0.000 0.000 0.000 x4
P1 0.000 0.000 0.500 x4
C1 0.127 0.250 0.625 x8

calculated volume: 187.3 Å³ per cell
DFT formation energy: 789 meV per atom
magnetic moment: 0.00 μB per cell
energy: -5.654 eV per atom



(3)
Below is a geometry-optimized KSr2Ag structure, with properties calculated at the PBE level.

abc: 4.6264 4.6264 32.9097
angles: 90.00 90.00 120.00
Space group R-3m (No. 166, hexagonal axes)
Symmetry-distinct sites (fractional):
K1 0.0000 0.0000 0.0000 x3
Sr1 0.0000 0.0000 0.2200 x6
Ag1 0.0000 0.0000 0.5000 x3

distance to the lowest polymorph of the same formula: 0.005 eV/atom
calculated volume: 610.0 Å³ per cell
DFT formation energy: -89 meV per atom
magnetic moment: 0.00 μB per cell
energy: -1.917 eV per atom



(4)
Below is a geometry-optimized Pa2NbTc structure, with properties calculated at the PBE level.

abc: 4.925 4.925 3.498
angles: 90.00 90.00 90.00
Space group P4/mmm (No. 123)
Symmetry-distinct sites (fractional):
Pa1 0.000 0.500 0.000 x2
Nb1 0.000 0.000 0.500 x1
Tc1 0.500 0.500 0.500 x1

distance to the lowest polymorph of the same formula: 0.007 eV/atom
calculated volume: 84.8 Å³ per cell
DFT formation energy: 83 meV per atom
magnetic moment: 0.00 μB per cell
energy: -9.774 eV per atom



(5)
Below is a geometry-optimized TaAlAs2Se structure, with properties calculated at the PBE level.

abc: 4.706 4.706 4.810
angles: 90.00 90.00 90.00
Space group P4/mmm (No. 123)
Symmetry-distinct sites (fractional):
Ta1 0.000 0.000 0.000 x1
Al1 0.500 0.500 0.500 x1
As1 0.000 0.500 0.500 x2
Se1 0.500 0.500 0.000 x1

distance to the lowest polymorph of the same formula: 0.633 eV/atom
calculated volume: 106.5 Å³ per cell
formation energy without anion corrections: 0.882 eV/atom
magnetic moment: 0.00 μB per cell
energy: -4.794 eV per atom



(6)
Below is a geometry-optimized TbErOsPd structure, with properties calculated at the PBE level.

abc: 6.879 6.879 6.879
angles: 90.00 90.00 90.00
Space group F-43m (No. 216)
Symmetry-distinct sites (fractional):
Tb1 0.000 0.000 0.000 x4
Er1 0.000 0.000 0.500 x4
Os1 0.250 0.250 0.750 x4
Pd1 0.250 0.250 0.250 x4

calculated volume: 325.6 Å³ per cell
DFT formation energy: -554 meV per atom
magnetic moment: 0.00 μB per cell
energy: -6.958 eV per atom



(7)
Below is a geometry-optimized Ca2NdUN4 structure, with properties calculated at the PBE level.

abc: 6.073 3.574 6.151
angles: 90.00 109.69 90.00
Space group P2/m (No. 10)
Symmetry-distinct sites (fractional):
Ca1 0.000 0.000 0.000 x1
Ca2 0.000 0.500 0.500 x1
Nd1 0.500 0.000 0.500 x1
U1 0.500 0.500 0.000 x1
N1 0.279 0.000 0.778 x2
N2 0.284 0.500 0.223 x2

calculated volume: 125.7 Å³ per cell
formation energy without anion corrections: -1.303 eV/atom
magnetic moment: 0.93 μB per cell
energy: -7.973 eV per atom



(8)
Below is a geometry-optimized SrBeCr2 structure, with properties calculated at the PBE level.

abc: 4.1156 4.1156 17.0102
angles: 90.00 90.00 120.00
Space group R3m (No. 160, hexagonal axes)
Symmetry-distinct sites (fractional):
Sr1 0.0000 0.0000 0.0000 x3
Be1 0.0000 0.0000 0.1872 x3
Cr1 0.0000 0.0000 0.4889 x3
Cr2 0.0000 0.0000 0.8138 x3

calculated volume: 249.5 Å³ per cell
DFT formation energy: 431 meV per atom
magnetic moment: 0.05 μB per cell
energy: -5.732 eV per atom



(9)
Below is a geometry-optimized CaGa4Cu2 structure, with properties calculated at the PBE level.

abc: 16.978 4.282 6.651
angles: 90.00 90.00 90.00
Space group Pnma (No. 62)
Symmetry-distinct sites (fractional):
Ca1 0.139 0.250 0.015 x4
Ga1 0.036 0.750 0.828 x4
Ga2 0.070 0.250 0.492 x4
Ga3 0.185 0.750 0.326 x4
Ga4 0.192 0.750 0.722 x4
Cu1 0.038 0.750 0.244 x4
Cu2 0.219 0.250 0.528 x4

distance to the lowest polymorph of the same formula: 0.000 eV/atom
calculated volume: 483.5 Å³ per cell
DFT formation energy: -287 meV per atom
magnetic moment: 0.00 μB per cell
energy: -3.473 eV per atom



(10)
Below is a geometry-optimized Pm2Al5Pt4 structure, with properties calculated at the PBE level.

abc: 5.514 9.501 15.969
angles: 90.00 90.00 90.00
Space group Fmmm (No. 69)
Symmetry-distinct sites (fractional):
Pm1 0.000 0.000 0.130 x8
Al1 0.000 0.000 0.500 x4
Al2 0.250 0.250 0.000 x8
Al3 0.250 0.250 0.250 x8
Pt1 0.000 0.157 0.369 x16

calculated volume: 836.6 Å³ per cell
DFT formation energy: -1019 meV per atom
magnetic moment: 0.00 μB per cell
energy: -5.781 eV per atom



(11)
Below is a geometry-optimized LiMnHg2 structure, with properties calculated at the PBE level.

abc: 3.308 3.308 6.702
angles: 90.00 90.00 90.00
Space group P4/mmm (No. 123)
Symmetry-distinct sites (fractional):
Li1 0.000 0.000 0.000 x1
Mn1 0.000 0.000 0.500 x1
Hg1 0.500 0.500 0.245 x2

calculated volume: 73.3 Å³ per cell
DFT formation energy: -14 meV per atom
magnetic moment: 4.05 μB per cell
energy: -2.935 eV per atom



(12)
Below is a geometry-optimized ErLuMnIr structure, with properties calculated at the PBE level.

abc: 6.839 6.839 6.839
angles: 90.00 90.00 90.00
Space group F-43m (No. 216)
Symmetry-distinct sites (fractional):
Er1 0.000 0.000 0.000 x4
Lu1 0.000 0.000 0.500 x4
Mn1 0.250 0.250 0.750 x4
Ir1 0.250 0.250 0.250 x4

calculated volume: 319.8 Å³ per cell
DFT formation energy: -385 meV per atom
magnetic moment: 13.22 μB per cell
energy: -7.163 eV per atom



(13)
Below is a geometry-optimized La2TiSn structure, with properties calculated at the PBE level.

abc: 8.652 8.652 6.163
angles: 90.00 90.00 90.00
Space group I-42d (No. 122)
Symmetry-distinct sites (fractional):
La1 0.235 0.250 0.125 x8
Ti1 0.000 0.000 0.000 x4
Sn1 0.000 0.000 0.500 x4

calculated volume: 461.4 Å³ per cell
DFT formation energy: 126 meV per atom
magnetic moment: 6.25 μB per cell
energy: -5.312 eV per atom



(14)
Below is a geometry-optimized HoTiZnTc structure, with properties calculated at the PBE level.

abc: 6.601 6.601 6.601
angles: 90.00 90.00 90.00
Space group F-43m (No. 216)
Symmetry-distinct sites (fractional):
Ho1 0.000 0.000 0.000 x4
Ti1 0.000 0.000 0.500 x4
Zn1 0.250 0.250 0.250 x4
Tc1 0.250 0.250 0.750 x4

calculated volume: 287.6 Å³ per cell
DFT formation energy: -137 meV per atom
magnetic moment: 0.00 μB per cell
energy: -6.166 eV per atom



(15)
Below is a geometry-optimized CoTe2Ir structure, with properties calculated at the PBE level.

abc: 3.9351 3.9351 23.1366
angles: 90.00 90.00 120.00
Space group R-3m (No. 166, hexagonal axes)
Symmetry-distinct sites (fractional):
Co1 0.0000 0.0000 0.0000 x3
Te1 0.0000 0.0000 0.1063 x6
Ir1 0.0000 0.0000 0.5000 x3

distance to the lowest polymorph of the same formula: 0.310 eV/atom
calculated volume: 310.3 Å³ per cell
formation energy without anion corrections: 0.339 eV/atom
magnetic moment: 5.24 μB per cell
energy: -5.224 eV per atom



(16)
Below is a geometry-optimized Al2ZnRh2 structure, with properties calculated at the PBE level.

abc: 3.691 3.691 11.789
angles: 90.00 90.00 90.00
Space group I4/mmm (No. 139)
Symmetry-distinct sites (fractional):
Al1 0.000 0.500 0.250 x4
Zn1 0.000 0.000 0.000 x2
Rh1 0.000 0.000 0.390 x4

distance to the lowest polymorph of the same formula: 0.303 eV/atom
calculated volume: 160.6 Å³ per cell
DFT formation energy: -441 meV per atom
magnetic moment: 0.00 μB per cell
energy: -5.133 eV per atom



(17)
Below is a geometry-optimized LiCaAg2 structure, with properties calculated at the PBE level.

abc: 4.739 6.614 5.625
angles: 90.00 90.00 90.00
Space group Pmmn (No. 59, origin choice 2)
Symmetry-distinct sites (fractional):
Li1 0.250 0.250 0.213 x2
Ca1 0.250 0.750 0.343 x2
Ag1 0.250 0.528 0.844 x4

distance to the lowest polymorph of the same formula: 0.000 eV/atom
calculated volume: 176.3 Å³ per cell
DFT formation energy: -245 meV per atom
magnetic moment: 0.00 μB per cell
energy: -2.649 eV per atom



(18)
Below is a geometry-optimized Tb2ErScP4 structure, with properties calculated at the PBE level.

abc: 6.834 3.953 6.839
angles: 90.00 109.49 90.00
Space group P2/m (No. 10)
Symmetry-distinct sites (fractional):
Tb1 0.000 0.000 0.000 x1
Tb2 0.000 0.500 0.500 x1
Er1 0.500 0.000 0.500 x1
Sc1 0.500 0.500 0.000 x1
P1 0.258 0.500 0.247 x2
P2 0.262 0.000 0.759 x2

calculated volume: 174.1 Å³ per cell
DFT formation energy: -1564 meV per atom
magnetic moment: 0.00 μB per cell
energy: -6.789 eV per atom



(19)
Below is a geometry-optimized PuHf2Sc3 structure, with properties calculated at the PBE level.

abc: 15.509 5.835 6.343
angles: 90.00 90.00 90.00
Space group Cmcm (No. 63)
Symmetry-distinct sites (fractional):
Pu1 0.000 0.223 0.250 x4
Hf1 0.142 0.000 0.000 x8
Sc1 0.000 0.289 0.750 x4
Sc2 0.185 0.471 0.250 x8

calculated volume: 574.0 Å³ per cell
DFT formation energy: 207 meV per atom
magnetic moment: 24.40 μB per cell
energy: -8.666 eV per atom



(20)
Below is a geometry-optimized Y2TiTlI structure, with properties calculated at the PBE level.

abc: 5.603 5.603 5.921
angles: 90.00 90.00 90.00
Space group P4/mmm (No. 123)
Symmetry-distinct sites (fractional):
Y1 0.000 0.500 0.000 x2
Ti1 0.000 0.000 0.500 x1
Tl1 0.500 0.500 0.500 x1
I1 0.500 0.500 0.000 x1

calculated volume: 185.9 Å³ per cell
formation energy without anion corrections: 0.745 eV/atom
magnetic moment: 2.49 μB per cell
energy: -4.203 eV per atom